HgH2Cl (PBE, optimized geometry); magnetic moment = 0.00 μB/f.u.; offset from the most stable computed form = 0.0 meV per atom; crystal system = tetragonal; mass density = 6.83 g/cm³
1.0
-2.131 2.131 6.373
2.131 -2.131 6.373
2.131 2.131 -6.373
Hg H Cl
2 4 2
direct
0.375 0.625 0.750
0.625 0.375 0.250
0.000 0.500 0.500
0.500 0.000 0.000
0.500 0.500 0.000
0.500 0.500 0.500
0.125 0.875 0.250
0.875 0.125 0.750


K2TiI2Br4 (PBE, optimized geometry); magnetic moment = 0.00 μB/f.u.; crystal system = monoclinic; E = -3.51 eV/atom; mass density = 3.50 g/cm³
1.0
6.662 -3.788 0.000
6.662 3.788 0.000
-4.224 0.000 6.566
K Ti I Br
2 1 2 4
direct
0.244 0.244 0.211
0.756 0.756 0.789
0.500 0.500 0.000
0.258 0.258 0.687
0.742 0.742 0.313
0.226 0.696 0.186
0.304 0.774 0.814
0.696 0.226 0.186
0.774 0.304 0.814


KTa2Re (PBE, optimized geometry); magnetic moment = 0.00 μB/f.u.; ΔH_f (0 K) = 0.7408 eV per atom; offset from the most stable computed form = 158.3 meV per atom; crystal system = monoclinic; mass density = 9.69 g/cm³
1.0
2.913 0.000 0.000
0.000 4.412 0.000
-1.255 0.000 7.832
K Ta Re
1 2 1
direct
0.000 0.000 0.000
0.149 0.500 0.636
0.499 0.000 0.468
0.801 0.500 0.340


ZnIn3Mo (PBE, optimized geometry); magnetic moment = 3.97 μB/f.u.; ΔH_f (0 K) = 1.0102 eV per atom; offset from the most stable computed form = 338.0 meV per atom; crystal system = cubic; mass density = 6.27 g/cm³
1.0
5.117 0.000 0.000
0.000 5.117 0.000
0.000 0.000 5.117
Zn In Mo
1 3 1
direct
0.000 0.000 0.000
0.000 0.000 0.500
0.000 0.500 0.000
0.500 0.000 0.000
0.500 0.500 0.500


YHW3 (PBE, optimized geometry); magnetic moment = 0.00 μB/f.u.; offset from the most stable computed form = 0.0 meV per atom; crystal system = cubic; mass density = 13.85 g/cm³
1.0
4.253 0.000 0.000
0.000 4.253 0.000
0.000 0.000 4.253
Y H W
1 1 3
direct
0.000 0.000 0.000
0.500 0.500 0.500
0.000 0.500 0.500
0.500 0.000 0.500
0.500 0.500 0.000


Pm3PrHo2Se6 (PBE, optimized geometry); magnetic moment = 0.00 μB/f.u.; crystal system = monoclinic; E = -5.89 eV/atom; mass density = 7.49 g/cm³
1.0
3.592 -6.248 0.000
3.592 6.248 0.000
-2.400 0.000 6.813
Pm Pr Ho Se
3 1 2 6
direct
0.000 0.000 0.000
0.342 0.658 0.000
0.658 0.342 0.000
0.500 0.500 0.500
0.166 0.834 0.500
0.834 0.166 0.500
0.072 0.419 0.255
0.234 0.234 0.739
0.419 0.072 0.255
0.581 0.928 0.745
0.766 0.766 0.261
0.928 0.581 0.745


TaIrCl (PBE, optimized geometry); magnetic moment = 0.00 μB/f.u.; offset from the most stable computed form = 535.9 meV per atom; crystal system = cubic; mass density = 11.72 g/cm³
1.0
0.000 3.071 3.071
3.071 0.000 3.071
3.071 3.071 0.000
Ta Ir Cl
1 1 1
direct
0.000 0.000 0.000
0.750 0.750 0.750
0.250 0.250 0.250


SrBC2 (PBE, optimized geometry); magnetic moment = 0.00 μB/f.u.; ΔH_f (0 K) = 0.6483 eV per atom; crystal system = tetragonal; mass density = 4.39 g/cm³
1.0
-2.109 2.109 5.205
2.109 -2.109 5.205
2.109 2.109 -5.205
Sr B C
2 2 4
direct
0.375 0.625 0.750
0.625 0.375 0.250
0.125 0.875 0.250
0.875 0.125 0.750
0.000 0.000 0.000
0.000 0.000 0.500
0.000 0.500 0.000
0.500 0.000 0.500